(1)
Density functional theory data (GGA-PBEsol) for a relaxed structure of Mo2AuBr.

Offset from the most stable computed form ... 114.1 meV per atom
Total magnetic moment ... 0.00 μB/f.u.
Energy relative to the elements, uncorrected ... 65.5 kJ/mol of atoms

a b c (Å): 10.039 2.856 4.858
angles (deg): 90.00 106.51 90.00
Space group Cm (No. 8)
Inequivalent atoms, fractional coordinates:
1 Mo 0.000 0.000 0.000 x2
2 Mo 0.247 0.000 0.751 x2
3 Au 0.493 0.000 0.511 x2
4 Br 0.223 0.500 0.179 x2

=====

(2)
Density functional theory data (GGA-PBEsol) for a relaxed structure of MoAuBr.

Offset from the most stable computed form ... 82.9 meV per atom
Total magnetic moment ... 0.00 μB/f.u.
Energy relative to the elements, uncorrected ... 36.7 kJ/mol of atoms

a b c (Å): 3.006 3.006 12.523
angles (deg): 90.00 90.00 90.00
Space group I4mm (No. 107)
Inequivalent atoms, fractional coordinates:
1 Mo 0.000 0.000 0.000 x2
2 Au 0.000 0.000 0.639 x2
3 Br 0.000 0.000 0.373 x2

=====

(3)
Density functional theory data (GGA-PBEsol) for a relaxed structure of MoAuBr.

Offset from the most stable computed form ... 0.0 meV per atom
Total magnetic moment ... 0.00 μB/f.u.
Energy relative to the elements, uncorrected ... 28.7 kJ/mol of atoms

a b c (Å): 3.0680 3.0680 6.7670
angles (deg): 90.00 90.00 120.00
Space group P3m1 (No. 156)
Inequivalent atoms, fractional coordinates:
1 Mo 0.0000 0.0000 0.0000 x1
2 Au 0.3333 0.6667 0.6853 x1
3 Br 0.6667 0.3333 0.2686 x1

=====

(4)
Density functional theory data (GGA-PBEsol) for a relaxed structure of Mo2AuBr.

Offset from the most stable computed form ... 282.3 meV per atom
Total magnetic moment ... 0.00 μB/f.u.
Energy relative to the elements, uncorrected ... 81.7 kJ/mol of atoms

a b c (Å): 3.036 4.692 9.329
angles (deg): 90.00 90.00 90.00
Space group Immm (No. 71)
Inequivalent atoms, fractional coordinates:
1 Mo 0.000 0.000 0.233 x4
2 Au 0.000 0.500 0.000 x2
3 Br 0.000 0.500 0.500 x2

=====

(5)
Density functional theory data (GGA-PBEsol) for a relaxed structure of NiMo2AuBr.

Total magnetic moment ... 7.16 μB/f.u.
Energy relative to the elements, uncorrected ... 243.3 kJ/mol of atoms

a b c (Å): 5.028 5.028 5.018
angles (deg): 90.00 90.00 90.00
Space group P4/mmm (No. 123)
Inequivalent atoms, fractional coordinates:
1 Ni 0.000 0.000 0.000 x1
2 Mo 0.000 0.500 0.500 x2
3 Au 0.500 0.500 0.500 x1
4 Br 0.500 0.500 0.000 x1

=====

(6)
Density functional theory data (GGA-PBEsol) for a relaxed structure of Pt2AuBrN.

Total magnetic moment ... 0.00 μB/f.u.
Energy relative to the elements, uncorrected ... 58.3 kJ/mol of atoms

a b c (Å): 3.845 3.845 6.892
angles (deg): 90.00 90.00 90.00
Space group P4/mmm (No. 123)
Inequivalent atoms, fractional coordinates:
1 Pt 0.000 0.500 0.000 x2
2 Au 0.000 0.000 0.500 x1
3 Br 0.500 0.500 0.500 x1
4 N 0.000 0.000 0.000 x1